# 1
Below is a relaxed Sc3TaPd crystal, with properties calculated at the PBE level.

Geometry as POSCAR:
```
Sc3TaPd
1.0
-4.0806 -1.6077 -2.4594
2.5441 0.1724 -4.3339
1.4700 -4.7613 0.6735
Pd Ta Sc
1 1 3
direct
0.5000 0.5000 0.5000
0.0000 0.0000 0.0000
0.0000 0.5000 0.0000
0.0000 0.0000 0.5000
0.5000 0.0000 0.0000
```

total magnetic moment = 0.00 μB per formula unit
space group = No. 221
electronic total energy = -6.481 eV/atom
polymorph energy (0 for the lowest one) = 269 meV/atom
energy of formation = 727.5 meV per atom

# 2
Below is a relaxed PaHg3 crystal, with properties calculated at the PBE level.

Geometry as POSCAR:
```
PaHg3
1.0
5.1304 0.0000 0.0000
0.0000 5.1304 0.0000
-2.5652 -2.5652 3.6385
Hg Pa
3 1
direct
0.7500 0.2500 0.5000
0.2500 0.7500 0.5000
0.5000 0.5000 0.0000
0.0000 0.0000 0.0000
```

total magnetic moment = 0.87 μB per formula unit
space group = No. 139
electronic total energy = -2.516 eV/atom
polymorph energy (0 for the lowest one) = 0 meV/atom
energy of formation = 84.6 meV per atom

# 3
Below is a relaxed Mn2ReHW crystal, with properties calculated at the PBE level.

Geometry as POSCAR:
```
Mn2ReHW
1.0
3.7818 0.0000 0.0000
0.0000 3.7818 0.0000
0.0000 0.0000 3.8962
Mn Re W H
2 1 1 1
direct
0.0000 0.5000 0.0000
0.5000 0.0000 0.0000
0.5000 0.5000 0.5000
0.0000 0.0000 0.5000
0.0000 0.0000 0.0000
```

total magnetic moment = 1.99 μB per formula unit
space group = No. 123
electronic total energy = -9.313 eV/atom

# 4
Below is a relaxed ReAg2Ir crystal, with properties calculated at the PBE level.

Geometry as POSCAR:
```
ReAg2Ir
1.0
-1.6306 5.1622 1.5141
-2.7960 3.2451 -3.6403
0.4008 -4.6253 3.1696
Ag Re Ir
2 1 1
direct
0.7397 0.2397 0.5000
0.0072 0.0072 0.0000
0.2699 0.7699 0.5000
0.4832 0.4832 0.0000
```

total magnetic moment = 0.00 μB per formula unit
space group = No. 44
electronic total energy = -6.139 eV/atom
polymorph energy (0 for the lowest one) = 406 meV/atom
energy of formation = 613.9 meV per atom

# 5
Below is a relaxed KIn2RuPt crystal, with properties calculated at the PBE level.

Geometry as POSCAR:
```
KIn2RuPt
1.0
-0.7120 -4.0288 3.8655
4.3917 1.3383 2.2038
-2.7592 3.6416 3.2872
Ru In Pt K
1 2 1 1
direct
0.5000 0.5000 0.5000
0.0000 0.0000 0.5000
0.5000 0.0000 0.0000
0.0000 0.5000 0.0000
0.0000 0.0000 0.0000
```

total magnetic moment = 2.83 μB per formula unit
space group = No. 123
electronic total energy = -2.473 eV/atom
energy of formation = 1904.8 meV per atom

# 6
Below is a relaxed Cr2PRh crystal, with properties calculated at the PBE level.

Geometry as POSCAR:
```
Cr2PRh
1.0
4.5166 -0.2654 0.0000
-1.8331 4.1364 0.0000
0.0000 0.0000 2.7121
P Cr Rh
1 2 1
direct
0.5000 0.0000 0.5000
0.0000 0.0000 0.0000
0.5000 0.5000 0.0000
0.0000 0.5000 0.5000
```

total magnetic moment = 0.55 μB per formula unit
space group = No. 65
electronic total energy = -8.069 eV/atom
energy of formation = -66.8 meV per atom

# 7
Below is a relaxed ErCoC2 crystal, with properties calculated at the PBE level.

Geometry as POSCAR:
```
ErCoC2
1.0
4.1364 0.0000 0.0000
-2.0682 4.5321 0.0000
0.0000 0.0000 4.8500
Er Co C
2 2 4
direct
0.8198 0.6396 0.7500
0.1802 0.3604 0.2500
0.5000 0.0000 0.0000
0.5000 0.0000 0.5000
0.7443 0.8269 0.2500
0.0826 0.8269 0.2500
0.2557 0.1731 0.7500
0.9174 0.1731 0.7500
```

total magnetic moment = 0.00 μB per formula unit
space group = No. 63
electronic total energy = -7.849 eV/atom
energy of formation = -320.1 meV per atom

# 8
Below is a relaxed YCdHg5 crystal, with properties calculated at the PBE level.

Geometry as POSCAR:
```
YCdHg5
1.0
-3.6749 2.5255 2.0517
-3.2534 -2.8025 -2.3777
-0.0779 -4.7100 5.6581
Cd Hg Y
1 5 1
direct
0.0000 0.0000 0.5000
0.5000 0.0000 0.7227
0.0000 0.5000 0.7227
0.5000 0.0000 0.2773
0.5000 0.5000 0.0000
0.0000 0.5000 0.2773
0.0000 0.0000 0.0000
```

total magnetic moment = 0.00 μB per formula unit
space group = No. 123
electronic total energy = -1.466 eV/atom
energy of formation = -195.9 meV per atom

# 9
Below is a relaxed Ca2NdTm crystal, with properties calculated at the PBE level.

Geometry as POSCAR:
```
Ca2NdTm
1.0
-5.2437 0.4493 1.9212
-0.8112 -4.8896 -1.0705
1.5908 -1.2800 4.6414
Tm Ca Nd
1 2 1
direct
0.5000 0.5000 0.5000
0.0000 0.5000 0.0000
0.0000 0.0000 0.5000
0.5000 0.0000 0.0000
```

total magnetic moment = 0.00 μB per formula unit
space group = No. 123
electronic total energy = -3.146 eV/atom
polymorph energy (0 for the lowest one) = 49 meV/atom
energy of formation = 164.4 meV per atom

# 10
Below is a relaxed ZnPN2 crystal, with properties calculated at the PBE level.

Geometry as POSCAR:
```
ZnPN2
1.0
-1.7087 4.5725 0.5962
-4.0098 -1.1594 -2.6001
-4.6040 0.6418 2.1635
N Zn P
4 2 2
direct
0.3750 0.5116 0.7500
0.2616 0.6250 0.2500
0.8750 0.7384 0.7500
0.4884 0.1250 0.2500
0.0000 0.0000 0.0000
0.7500 0.2500 0.5000
0.2500 0.7500 0.5000
0.5000 0.5000 0.0000
```

total magnetic moment = 0.00 μB per formula unit
space group = No. 122
electronic total energy = -5.712 eV/atom
polymorph energy (0 for the lowest one) = 34 meV/atom

# 11
Below is a relaxed Pr4Er10Sc crystal, with properties calculated at the PBE level.

Geometry as POSCAR:
```
Pr4Er10Sc
1.0
-6.4678 1.3233 -4.1822
-7.6395 -2.5446 3.7076
-3.9678 7.8184 1.3084
Pr Er Sc
4 10 1
direct
0.2275 0.5454 0.9997
0.2272 0.0003 0.5454
0.7728 0.9997 0.4546
0.7725 0.4546 0.0003
0.0837 0.2070 0.2072
0.9163 0.7930 0.7928
0.2907 0.2072 0.7930
0.7091 0.2072 0.7930
0.7093 0.7928 0.2070
0.5021 0.2070 0.2072
0.2500 0.5000 0.5000
0.2909 0.7928 0.2070
0.4979 0.7930 0.7928
0.7500 0.5000 0.5000
0.0000 0.0000 0.0000
```

total magnetic moment = 0.00 μB per formula unit
space group = No. 139
electronic total energy = -4.471 eV/atom
energy of formation = 267.3 meV per atom

# 12
Below is a relaxed BiAsBr6 crystal, with properties calculated at the PBE level.

Geometry as POSCAR:
```
BiAsBr6
1.0
-1.7159 -0.8246 -6.6593
0.8869 -6.1451 -3.0691
-6.1051 -4.0198 -1.5308
Br Bi As
6 1 1
direct
0.0725 0.4031 0.7598
0.9275 0.5969 0.2402
0.2355 0.9275 0.2402
0.7645 0.0725 0.7598
0.5969 0.2355 0.2402
0.4031 0.7645 0.7598
0.5000 0.5000 0.5000
0.0000 0.0000 0.0000
```

total magnetic moment = 0.00 μB per formula unit
space group = No. 148
electronic total energy = -2.818 eV/atom

# 13
Below is a relaxed NpPaSbRu crystal, with properties calculated at the PBE level.

Geometry as POSCAR:
```
NpPaSbRu
1.0
4.9252 0.0000 0.0000
2.4626 4.2653 0.0000
2.4626 1.4218 4.0214
Pa Np Sb Ru
1 1 1 1
direct
0.2500 0.2500 0.2500
0.5000 0.5000 0.5000
0.7500 0.7500 0.7500
0.0000 0.0000 0.0000
```

total magnetic moment = 6.52 μB per formula unit
space group = No. 216
electronic total energy = -8.981 eV/atom

# 14
Below is a relaxed TlSn2H2Pd7 crystal, with properties calculated at the PBE level.

Geometry as POSCAR:
```
TlSn2H2Pd7
1.0
4.0676 -0.0169 0.1680
-0.0120 4.0677 0.1680
2.4403 2.4373 11.0836
Pd H Tl Sn
7 2 1 2
direct
0.1338 0.6309 0.8015
0.5000 0.5000 0.0000
0.2362 0.2362 0.3924
0.7638 0.7638 0.6076
0.3691 0.8662 0.1985
0.8662 0.3691 0.1985
0.6309 0.1338 0.8015
0.3556 0.3556 0.1765
0.6444 0.6444 0.8235
0.0000 0.0000 0.0000
0.7473 0.7473 0.3795
0.2527 0.2527 0.6205
```

total magnetic moment = 0.00 μB per formula unit
space group = No. 12
electronic total energy = -4.786 eV/atom

# 15
Below is a relaxed ZnSi2Cl crystal, with properties calculated at the PBE level.

Geometry as POSCAR:
```
ZnSi2Cl
1.0
-4.2404 -0.0490 -8.2067
-6.5393 -0.7121 -6.4856
-5.7716 2.1033 -6.8991
Si Zn Cl
2 1 1
direct
0.4986 0.4986 0.4986
0.0014 0.0014 0.0014
0.2500 0.2500 0.2500
0.7500 0.7500 0.7500
```

total magnetic moment = 0.00 μB per formula unit
space group = No. 166
electronic total energy = -3.065 eV/atom
polymorph energy (0 for the lowest one) = 433 meV/atom

# 16
Below is a relaxed ZrGa3Co crystal, with properties calculated at the PBE level.

Geometry as POSCAR:
```
ZrGa3Co
1.0
4.0033 -0.0010 0.0000
0.0015 6.4041 0.0000
0.0000 0.0000 6.5203
Co Zr Ga
2 2 6
direct
0.2500 0.2500 0.5544
0.7500 0.7500 0.4456
0.2500 0.7500 0.7666
0.7500 0.2500 0.2334
0.2500 0.5501 0.3318
0.7500 0.7500 0.0822
0.2500 0.9499 0.3318
0.2500 0.2500 0.9178
0.7500 0.0501 0.6682
0.7500 0.4499 0.6682
```

total magnetic moment = 0.00 μB per formula unit
space group = No. 59
electronic total energy = -5.227 eV/atom
polymorph energy (0 for the lowest one) = 76 meV/atom
energy of formation = -280.4 meV per atom

# 17
Below is a relaxed RbCd2GeS4 crystal, with properties calculated at the PBE level.

Geometry as POSCAR:
```
RbCd2GeS4
1.0
-0.9856 -6.1134 3.2538
6.9326 -0.9193 -0.1626
-2.6161 5.5251 2.3368
S Cd Ge Rb
4 2 1 1
direct
0.5380 0.5380 0.6940
0.8268 0.4548 0.2815
0.4548 0.8268 0.2815
0.1560 0.1560 0.6940
0.7626 0.2626 0.5252
0.2626 0.7626 0.5252
0.4968 0.4968 0.9935
0.0027 0.0027 0.0055
```

total magnetic moment = 0.00 μB per formula unit
space group = No. 42
electronic total energy = -3.541 eV/atom

# 18
Below is a relaxed IrRu2Se2 crystal, with properties calculated at the PBE level.

Geometry as POSCAR:
```
IrRu2Se2
1.0
7.1681 0.0000 0.0000
0.0000 7.1681 0.0000
0.0000 0.0000 3.0501
Ru Ir Se
4 2 4
direct
0.3608 0.8608 0.0000
0.6392 0.1392 0.0000
0.8608 0.6392 0.0000
0.1392 0.3608 0.0000
0.0000 0.0000 0.0000
0.5000 0.5000 0.0000
0.6554 0.8446 0.5000
0.3446 0.1554 0.5000
0.1554 0.6554 0.5000
0.8446 0.3446 0.5000
```

total magnetic moment = 0.00 μB per formula unit
space group = No. 127
electronic total energy = -6.384 eV/atom
polymorph energy (0 for the lowest one) = 0 meV/atom

# 19
Below is a relaxed AlIn2Ag crystal, with properties calculated at the PBE level.

Geometry as POSCAR:
```
AlIn2Ag
1.0
-1.5634 2.7473 4.6240
-1.0604 -0.0692 5.4995
4.7973 1.6409 2.5230
In Al Ag
2 1 1
direct
0.9770 0.9770 0.0548
0.7727 0.7727 0.6980
0.2201 0.2201 0.2126
0.5302 0.5302 0.5346
```

total magnetic moment = 0.00 μB per formula unit
space group = No. 8
electronic total energy = -2.937 eV/atom
energy of formation = 80.6 meV per atom

# 20
Below is a relaxed YAsIrSe2 crystal, with properties calculated at the PBE level.

Geometry as POSCAR:
```
YAsIrSe2
1.0
-3.2000 -3.5476 1.9035
3.8757 -3.3728 0.2294
0.9661 1.3978 4.2293
Ir As Y Se
1 1 1 2
direct
0.0000 0.0000 0.0000
0.0000 0.0000 0.5000
0.5000 0.5000 0.5000
0.5000 0.0000 0.0000
0.0000 0.5000 0.0000
```

total magnetic moment = 0.00 μB per formula unit
space group = No. 123
electronic total energy = -5.621 eV/atom
polymorph energy (0 for the lowest one) = 0 meV/atom

# 21
Below is a relaxed BaTlTc2 crystal, with properties calculated at the PBE level.

Geometry as POSCAR:
```
BaTlTc2
1.0
8.1329 0.0000 0.0000
0.0000 8.1329 0.0000
4.0664 4.0664 3.1329
Ba Tc Tl
2 4 2
direct
0.5000 0.5000 0.0000
0.2500 0.7500 0.5000
0.3750 0.3361 0.7500
0.0861 0.6250 0.2500
0.8750 0.9139 0.7500
0.6639 0.1250 0.2500
0.7500 0.2500 0.5000
0.0000 0.0000 0.0000
```

total magnetic moment = 4.19 μB per formula unit
space group = No. 122
electronic total energy = -4.831 eV/atom
polymorph energy (0 for the lowest one) = 1114 meV/atom
energy of formation = 1424.7 meV per atom

# 22
Below is a relaxed NaHfBi2Te crystal, with properties calculated at the PBE level.

Geometry as POSCAR:
```
NaHfBi2Te
1.0
-2.3145 0.6773 -4.7113
3.7546 -3.3770 -2.3299
-3.1446 -4.1503 0.9482
Na Te Bi Hf
1 1 2 1
direct
0.0000 0.0000 0.0000
0.5000 0.5000 0.5000
0.0000 0.0000 0.5000
0.5000 0.0000 0.0000
0.0000 0.5000 0.0000
```

total magnetic moment = 0.00 μB per formula unit
space group = No. 123
electronic total energy = -3.448 eV/atom

# 23
Below is a relaxed CeSc2Te crystal, with properties calculated at the PBE level.

Geometry as POSCAR:
```
CeSc2Te
1.0
-2.2678 1.8577 -2.2815
-0.9677 -3.1913 -1.6365
-5.3505 -0.7794 4.6837
Ce Sc Te
1 2 1
direct
0.5000 0.5000 0.5000
0.0000 0.0000 0.7755
0.0000 0.0000 0.2245
0.5000 0.5000 0.0000
```

total magnetic moment = 0.43 μB per formula unit
space group = No. 123
electronic total energy = -5.915 eV/atom
polymorph energy (0 for the lowest one) = 0 meV/atom

# 24
Below is a relaxed BeIn2Ru crystal, with properties calculated at the PBE level.

Geometry as POSCAR:
```
BeIn2Ru
1.0
-4.8505 1.5046 -0.5021
-2.6606 -2.6653 -3.4439
2.9942 -1.2144 3.9501
In Ru Be
2 1 1
direct
0.0000 0.0000 0.0000
0.2500 0.7500 0.5000
0.5000 0.5000 0.0000
0.7500 0.2500 0.5000
```

total magnetic moment = 0.00 μB per formula unit
space group = No. 119
electronic total energy = -4.421 eV/atom
energy of formation = 198.2 meV per atom

# 25
Below is a relaxed YTlTe2 crystal, with properties calculated at the PBE level.

Geometry as POSCAR:
```
YTlTe2
1.0
3.8682 0.0000 0.0000
0.0000 3.8751 0.0317
0.0000 3.7828 8.3943
Te Y Tl
2 1 1
direct
0.0000 0.4625 0.5374
0.0000 0.0375 0.9626
0.5000 0.7500 0.7500
0.5000 0.2500 0.2500
```

total magnetic moment = 0.00 μB per formula unit
space group = No. 10
electronic total energy = -4.653 eV/atom

# 26
Below is a relaxed AlSiSb2 crystal, with properties calculated at the PBE level.

Geometry as POSCAR:
```
AlSiSb2
1.0
-5.5066 -0.1452 1.4321
-4.6554 -3.2731 -0.0951
-1.5888 -2.7536 4.7544
Al Si Sb
1 1 2
direct
0.8039 0.8039 0.5939
0.4648 0.4648 0.6519
0.0360 0.0360 0.9420
0.1953 0.1953 0.3122
```

total magnetic moment = 0.00 μB per formula unit
space group = No. 8
electronic total energy = -4.029 eV/atom
polymorph energy (0 for the lowest one) = 164 meV/atom